Mn2Al2Fe after structural relaxation. Source: the Alexandria database, functional GGA-PBE.

a = 5.851 Å, b = 5.851 Å, c = 3.871 Å
α = 90.00°, β = 90.00°, γ = 90.00°
Atoms (fractional coordinates):
Mn1 0.127 0.373 0.000
Mn2 0.373 0.873 0.000
Mn3 0.627 0.127 0.000
Mn4 0.873 0.627 0.000
Al1 0.174 0.674 0.500
Al2 0.326 0.174 0.500
Al3 0.674 0.826 0.500
Al4 0.826 0.326 0.500
Fe1 0.000 0.000 0.000
Fe2 0.500 0.500 0.000

Computed properties:
ΔE_f: 69.3 meV per atom
D(E_F): 5.34 states/eV/f.u.
space group: P4/mbm, No. 127
offset from the most stable computed form: 0.292 eV per formula unit
calculated volume: 133 Å³ per cell

=====

MgFe2S4 after structural relaxation. Source: the Alexandria database, functional GGA-PBE.

a = 7.010 Å, b = 7.010 Å, c = 7.010 Å
α = 120.34°, β = 118.22°, γ = 91.26°
Atoms (fractional coordinates):
Mg1 0.000 0.000 0.000
Mg2 0.500 0.000 0.500
Fe1 0.000 0.500 0.500
Fe2 0.500 0.000 0.000
Fe3 0.500 0.500 0.000
Fe4 0.500 0.500 0.500
S1 0.262 0.269 0.507
S2 0.262 0.755 0.993
S3 0.280 0.744 0.536
S4 0.292 0.256 0.036
S5 0.708 0.744 0.964
S6 0.720 0.256 0.464
S7 0.738 0.245 0.007
S8 0.738 0.731 0.493

Computed properties:
D(E_F): 7.78 states/eV/f.u.
space group: Imma, No. 74
formation energy (no corrections): -3.58 eV/f.u.
calculated volume: 246 Å³ per cell

=====

CsPdIN2 after structural relaxation. Source: the Alexandria database, functional GGA-PBE.

a = 4.525 Å, b = 4.525 Å, c = 5.500 Å
α = 90.00°, β = 90.00°, γ = 90.00°
Atoms (fractional coordinates):
Cs1 0.000 0.000 0.000
Pd1 0.500 0.500 0.500
I1 0.500 0.500 0.000
N1 0.000 0.500 0.500
N2 0.500 0.000 0.500

Computed properties:
D(E_F): 1.52 states/eV/f.u.
space group: P4/mmm, No. 123
formation energy (no corrections): 5.97 eV/f.u.
offset from the most stable computed form: 0.000 eV per formula unit
calculated volume: 113 Å³ per cell

=====

TiMn2Pd after structural relaxation. Source: the Alexandria database, functional GGA-PBE.

a = 3.946 Å, b = 3.946 Å, c = 3.750 Å
α = 90.00°, β = 90.00°, γ = 90.00°
Atoms (fractional coordinates):
Ti1 0.000 0.000 0.000
Mn1 0.000 0.500 0.500
Mn2 0.500 0.000 0.500
Pd1 0.500 0.500 0.000

Computed properties:
ΔE_f: -170.9 meV per atom
D(E_F): 3.69 states/eV/f.u.
space group: P4/mmm, No. 123
calculated volume: 58 Å³ per cell

=====

K3HfBi3 after structural relaxation. Source: the Alexandria database, functional GGA-PBE.

a = 9.297 Å, b = 9.297 Å, c = 8.837 Å
α = 103.16°, β = 103.16°, γ = 116.70°
Atoms (fractional coordinates):
K1 0.147 0.853 0.000
K2 0.242 0.758 0.500
K3 0.421 0.421 0.208
K4 0.579 0.579 0.792
K5 0.758 0.242 0.500
K6 0.853 0.147 0.000
Hf1 0.170 0.170 0.700
Hf2 0.830 0.830 0.300
Bi1 0.148 0.148 0.365
Bi2 0.176 0.482 0.851
Bi3 0.482 0.176 0.851
Bi4 0.518 0.824 0.149
Bi5 0.824 0.518 0.149
Bi6 0.852 0.852 0.635

Computed properties:
ΔE_f: -209.8 meV per atom
D(E_F): 4.02 states/eV/f.u.
space group: C2/m, No. 12
calculated volume: 615 Å³ per cell

=====

La2SnGeRh6 after structural relaxation. Source: the Alexandria database, functional GGA-PBE.

a = 5.632 Å, b = 6.358 Å, c = 6.613 Å
α = 85.34°, β = 64.83°, γ = 63.78°
Atoms (fractional coordinates):
La1 0.246 0.263 0.246
La2 0.754 0.737 0.754
Sn1 0.000 0.000 0.000
Ge1 0.500 0.500 0.500
Rh1 0.204 0.309 0.791
Rh2 0.253 0.944 0.550
Rh3 0.303 0.691 0.209
Rh4 0.697 0.309 0.791
Rh5 0.747 0.056 0.450
Rh6 0.796 0.691 0.209

Computed properties:
ΔE_f: -572.0 meV per atom
D(E_F): 7.91 states/eV/f.u.
space group: P-1, No. 2
calculated volume: 191 Å³ per cell

=====

YMgNF2 after structural relaxation. Source: the Alexandria database, functional GGA-PBE.

a = 3.690 Å, b = 3.690 Å, c = 4.588 Å
α = 90.00°, β = 90.00°, γ = 90.00°
Atoms (fractional coordinates):
Y1 0.000 0.000 0.000
Mg1 0.500 0.500 0.500
N1 0.500 0.500 0.000
F1 0.000 0.500 0.500
F2 0.500 0.000 0.500

Computed properties:
space group: P4/mmm, No. 123
formation energy (no corrections): -11.75 eV/f.u.
offset from the most stable computed form: 0.000 eV per formula unit
calculated volume: 62 Å³ per cell

=====

Dy12YHo5 after structural relaxation. Source: the Alexandria database, functional GGA-PBE.

a = 10.617 Å, b = 10.617 Å, c = 5.002 Å
α = 90.00°, β = 90.00°, γ = 90.11°
Atoms (fractional coordinates):
Dy1 0.000 0.333 0.500
Dy2 0.000 0.667 0.500
Dy3 0.166 0.166 0.000
Dy4 0.166 0.500 0.000
Dy5 0.333 0.000 0.500
Dy6 0.333 0.333 0.500
Dy7 0.500 0.166 0.000
Dy8 0.500 0.834 0.000
Dy9 0.667 0.000 0.500
Dy10 0.667 0.667 0.500
Dy11 0.834 0.500 0.000
Dy12 0.834 0.834 0.000
Y1 0.500 0.500 0.000
Ho1 0.000 0.000 0.500
Ho2 0.167 0.833 0.000
Ho3 0.333 0.667 0.500
Ho4 0.667 0.333 0.500
Ho5 0.833 0.167 0.000

Computed properties:
ΔE_f: 19.2 meV per atom
D(E_F): 24.79 states/eV/f.u.
space group: Cmmm, No. 65
calculated volume: 564 Å³ per cell

=====

RbCe2F7 after structural relaxation. Source: the Alexandria database, functional GGA-PBE.

a = 7.062 Å, b = 7.062 Å, c = 4.612 Å
α = 90.00°, β = 90.00°, γ = 116.41°
Atoms (fractional coordinates):
Rb1 0.000 0.000 0.000
Ce1 0.307 0.693 0.500
Ce2 0.693 0.307 0.500
F1 0.045 0.334 0.500
F2 0.288 0.712 0.000
F3 0.334 0.045 0.500
F4 0.500 0.500 0.500
F5 0.666 0.955 0.500
F6 0.712 0.288 0.000
F7 0.955 0.666 0.500

Computed properties:
D(E_F): 6.38 states/eV/f.u.
space group: Cmmm, No. 65
formation energy (no corrections): -37.52 eV/f.u.
calculated volume: 206 Å³ per cell

=====

SeSBr2Cl after structural relaxation. Source: the Alexandria database, functional GGA-PBE.

a = 5.056 Å, b = 5.056 Å, c = 5.040 Å
α = 90.00°, β = 90.00°, γ = 90.00°
Atoms (fractional coordinates):
Se1 0.000 0.000 0.000
S1 0.000 0.000 0.500
Br1 0.000 0.500 0.500
Br2 0.500 0.000 0.500
Cl1 0.500 0.500 0.000

Computed properties:
D(E_F): 4.82 states/eV/f.u.
space group: P4/mmm, No. 123
formation energy (no corrections): 2.61 eV/f.u.
offset from the most stable computed form: 0.000 eV per formula unit
calculated volume: 129 Å³ per cell

=====

CdAgHgBi after structural relaxation. Source: the Alexandria database, functional GGA-PBE.

a = 5.166 Å, b = 5.166 Å, c = 5.166 Å
α = 60.00°, β = 60.00°, γ = 60.00°
Atoms (fractional coordinates):
Cd1 0.000 0.000 0.000
Ag1 0.500 0.500 0.500
Hg1 0.250 0.250 0.250
Bi1 0.750 0.750 0.750

Computed properties:
ΔE_f: 115.3 meV per atom
D(E_F): 1.15 states/eV/f.u.
space group: F-43m, No. 216
calculated volume: 97 Å³ per cell

=====

Rb2CuSeO4 after structural relaxation. Source: the Alexandria database, functional GGA-PBE.

a = 11.750 Å, b = 10.396 Å, c = 6.713 Å
α = 83.80°, β = 61.59°, γ = 34.61°
Atoms (fractional coordinates):
Rb1 0.050 0.050 0.700
Rb2 0.300 0.300 0.950
Rb3 0.700 0.700 0.050
Rb4 0.950 0.950 0.300
Cu1 0.125 0.125 0.125
Cu2 0.875 0.875 0.875
Se1 0.375 0.375 0.375
Se2 0.625 0.625 0.625
O1 0.028 0.635 0.545
O2 0.293 0.545 0.635
O3 0.365 0.972 0.707
O4 0.455 0.707 0.972
O5 0.545 0.293 0.028
O6 0.635 0.028 0.293
O7 0.707 0.455 0.365
O8 0.972 0.365 0.455

Computed properties:
D(E_F): 2.20 states/eV/f.u.
space group: Fddd, No. 70
formation energy (no corrections): -6.67 eV/f.u.
calculated volume: 337 Å³ per cell

=====

CoOs3 after structural relaxation. Source: the Alexandria database, functional GGA-PBE.

a = 2.701 Å, b = 2.701 Å, c = 7.398 Å
α = 90.00°, β = 90.00°, γ = 90.00°
Atoms (fractional coordinates):
Co1 0.000 0.000 0.000
Os1 0.000 0.000 0.500
Os2 0.500 0.500 0.239
Os3 0.500 0.500 0.761

Computed properties:
ΔE_f: 189.0 meV per atom
D(E_F): 4.58 states/eV/f.u.
space group: P4/mmm, No. 123
calculated volume: 54 Å³ per cell

=====

HfTa2TeBr after structural relaxation. Source: the Alexandria database, functional GGA-PBE.

a = 4.663 Å, b = 4.663 Å, c = 5.675 Å
α = 90.00°, β = 90.00°, γ = 90.00°
Atoms (fractional coordinates):
Hf1 0.000 0.000 0.000
Ta1 0.000 0.500 0.500
Ta2 0.500 0.000 0.500
Te1 0.500 0.500 0.000
Br1 0.500 0.500 0.500

Computed properties:
D(E_F): 5.56 states/eV/f.u.
space group: P4/mmm, No. 123
formation energy (no corrections): 7.41 eV/f.u.
calculated volume: 123 Å³ per cell

=====

In4ReNi after structural relaxation. Source: the Alexandria database, functional GGA-PBE.

a = 5.593 Å, b = 5.593 Å, c = 5.593 Å
α = 60.00°, β = 60.00°, γ = 60.00°
Atoms (fractional coordinates):
In1 0.125 0.125 0.125
In2 0.125 0.125 0.625
In3 0.125 0.625 0.125
In4 0.625 0.125 0.125
Re1 0.500 0.500 0.500
Ni1 0.750 0.750 0.750

Computed properties:
ΔE_f: 1089.4 meV per atom
D(E_F): 5.25 states/eV/f.u.
space group: F-43m, No. 216
calculated volume: 124 Å³ per cell

=====

PrSmSbAs after structural relaxation. Source: the Alexandria database, functional GGA-PBE.

a = 4.388 Å, b = 4.388 Å, c = 6.234 Å
α = 90.00°, β = 90.00°, γ = 90.00°
Atoms (fractional coordinates):
Pr1 0.000 0.000 0.000
Sm1 0.500 0.500 0.500
Sb1 0.000 0.000 0.500
As1 0.500 0.500 0.000

Computed properties:
D(E_F): 0.51 states/eV/f.u.
space group: P4/mmm, No. 123
formation energy (no corrections): -5.22 eV/f.u.
calculated volume: 120 Å³ per cell

=====

Sm2Ho2Zn3 after structural relaxation. Source: the Alexandria database, functional GGA-PBE.

a = 5.014 Å, b = 5.022 Å, c = 8.700 Å
α = 73.30°, β = 73.29°, γ = 60.07°
Atoms (fractional coordinates):
Sm1 0.125 0.128 0.120
Sm2 0.875 0.872 0.880
Ho1 0.376 0.377 0.370
Ho2 0.624 0.623 0.630
Zn1 0.000 0.000 0.500
Zn2 0.255 0.253 0.738
Zn3 0.745 0.747 0.262

Computed properties:
ΔE_f: -197.7 meV per atom
D(E_F): 9.35 states/eV/f.u.
space group: P-1, No. 2
calculated volume: 179 Å³ per cell

=====

GaNi2Ir after structural relaxation. Source: the Alexandria database, functional GGA-PBE.

a = 4.159 Å, b = 4.159 Å, c = 4.159 Å
α = 60.00°, β = 60.00°, γ = 60.00°
Atoms (fractional coordinates):
Ga1 0.000 0.000 0.000
Ni1 0.250 0.250 0.250
Ni2 0.500 0.500 0.500
Ir1 0.750 0.750 0.750

Computed properties:
ΔE_f: -185.8 meV per atom
D(E_F): 5.56 states/eV/f.u.
space group: F-43m, No. 216
calculated volume: 51 Å³ per cell

=====

La3InCo after structural relaxation. Source: the Alexandria database, functional GGA-PBE.

a = 6.717 Å, b = 6.717 Å, c = 6.883 Å
α = 96.65°, β = 96.65°, γ = 107.87°
Atoms (fractional coordinates):
La1 0.000 0.000 0.000
La2 0.004 0.442 0.292
La3 0.411 0.834 0.746
La4 0.442 0.004 0.292
La5 0.525 0.525 0.179
La6 0.834 0.411 0.746
In1 0.296 0.296 0.704
In2 0.916 0.916 0.501
Co1 0.190 0.576 0.995
Co2 0.576 0.190 0.995

Computed properties:
ΔE_f: -244.6 meV per atom
D(E_F): 4.99 states/eV/f.u.
space group: Cm, No. 8
offset from the most stable computed form: 0.235 eV per formula unit
calculated volume: 290 Å³ per cell

=====

Li2AcTbSe4 after structural relaxation. Source: the Alexandria database, functional GGA-PBE.

a = 6.996 Å, b = 4.262 Å, c = 7.415 Å
α = 90.00°, β = 110.74°, γ = 90.00°
Atoms (fractional coordinates):
Li1 0.000 0.000 0.000
Li2 0.000 0.500 0.500
Ac1 0.500 0.000 0.500
Tb1 0.500 0.500 0.000
Se1 0.237 0.500 0.227
Se2 0.244 0.000 0.763
Se3 0.756 0.000 0.237
Se4 0.763 0.500 0.773

Computed properties:
D(E_F): 0.00 states/eV/f.u.
space group: P2/m, No. 10
formation energy (no corrections): -13.37 eV/f.u.
calculated volume: 207 Å³ per cell

=====

Ce3SmTc2 after structural relaxation. Source: the Alexandria database, functional GGA-PBE.

a = 7.117 Å, b = 7.117 Å, c = 7.610 Å
α = 106.12°, β = 106.12°, γ = 55.83°
Atoms (fractional coordinates):
Ce1 0.233 0.767 0.750
Ce2 0.265 0.284 0.879
Ce3 0.284 0.265 0.379
Ce4 0.716 0.735 0.621
Ce5 0.735 0.716 0.121
Ce6 0.767 0.233 0.250
Sm1 0.282 0.718 0.250
Sm2 0.718 0.282 0.750
Tc1 0.105 0.147 0.088
Tc2 0.147 0.105 0.588
Tc3 0.853 0.895 0.412
Tc4 0.895 0.853 0.912

Computed properties:
ΔE_f: -27.3 meV per atom
D(E_F): 9.59 states/eV/f.u.
space group: C2/c, No. 15
calculated volume: 303 Å³ per cell

=====

CrInIrRu after structural relaxation. Source: the Alexandria database, functional GGA-PBE.

a = 4.428 Å, b = 4.428 Å, c = 4.428 Å
α = 60.00°, β = 60.00°, γ = 60.00°
Atoms (fractional coordinates):
Cr1 0.000 0.000 0.000
In1 0.500 0.500 0.500
Ir1 0.750 0.750 0.750
Ru1 0.250 0.250 0.250

Computed properties:
ΔE_f: 37.0 meV per atom
D(E_F): 1.05 states/eV/f.u.
space group: F-43m, No. 216
calculated volume: 61 Å³ per cell

=====

SmDy3Y5 after structural relaxation. Source: the Alexandria database, functional GGA-PBE.

a = 9.677 Å, b = 9.677 Å, c = 11.342 Å
α = 110.36°, β = 110.36°, γ = 38.18°
Atoms (fractional coordinates):
Sm1 0.126 0.874 0.750
Sm2 0.874 0.126 0.250
Dy1 0.000 0.000 0.000
Dy2 0.000 0.000 0.500
Dy3 0.012 0.648 0.126
Dy4 0.352 0.988 0.374
Dy5 0.648 0.012 0.626
Dy6 0.988 0.352 0.874
Y1 0.112 0.548 0.790
Y2 0.147 0.533 0.485
Y3 0.399 0.601 0.250
Y4 0.452 0.888 0.710
Y5 0.467 0.853 0.015
Y6 0.533 0.147 0.985
Y7 0.548 0.112 0.290
Y8 0.601 0.399 0.750
Y9 0.853 0.467 0.515
Y10 0.888 0.452 0.210

Computed properties:
ΔE_f: 295.4 meV per atom
D(E_F): 12.87 states/eV/f.u.
space group: C2/c, No. 15
offset from the most stable computed form: 2.092 eV per formula unit
calculated volume: 610 Å³ per cell

=====

NaTl3Tc after structural relaxation. Source: the Alexandria database, functional GGA-PBE.

a = 5.412 Å, b = 5.412 Å, c = 5.412 Å
α = 90.00°, β = 90.00°, γ = 90.00°
Atoms (fractional coordinates):
Na1 0.000 0.000 0.000
Tl1 0.000 0.000 0.500
Tl2 0.000 0.500 0.000
Tl3 0.500 0.000 0.000
Tc1 0.500 0.500 0.500

Computed properties:
ΔE_f: 1232.1 meV per atom
D(E_F): 4.82 states/eV/f.u.
space group: Pm-3m, No. 221
offset from the most stable computed form: 4.757 eV per formula unit
calculated volume: 158 Å³ per cell